# 1
First-principles (PBE-GGA) data for crystalline MgZrCr at its relaxed geometry, as listed in Alexandria.

```
data_MgZrCr
_symmetry_space_group_name_H-M 'F -4 3 m'
_symmetry_Int_Tables_number 216
_symmetry_space_group_name_Hall 'F -4 2 3'
_cell_length_a 6.605
_cell_length_b 6.605
_cell_length_c 6.605
_cell_angle_alpha 90.00
_cell_angle_beta 90.00
_cell_angle_gamma 90.00
loop_
_atom_site_label
_atom_site_type_symbol
_atom_site_fract_x
_atom_site_fract_y
_atom_site_fract_z
_atom_site_occupancy
Mg1 Mg 0.000 0.000 0.000 1
Zr1 Zr 0.250 0.250 0.250 1
Cr1 Cr 0.000 0.000 0.500 1
```

Output
Its energy above the most stable polymorph in this dataset is 1049 meV/atom. The energy relative to the elements is 1102 meV per atom.

***

# 2
First-principles (PBE-GGA) data for crystalline BaAcAlSn at its relaxed geometry, as listed in Alexandria.

```
data_BaAcAlSn
_symmetry_space_group_name_H-M 'F -4 3 m'
_symmetry_Int_Tables_number 216
_symmetry_space_group_name_Hall 'F -4 2 3'
_cell_length_a 8.226
_cell_length_b 8.226
_cell_length_c 8.226
_cell_angle_alpha 90.00
_cell_angle_beta 90.00
_cell_angle_gamma 90.00
loop_
_atom_site_label
_atom_site_type_symbol
_atom_site_fract_x
_atom_site_fract_y
_atom_site_fract_z
_atom_site_occupancy
Ba1 Ba 0.000 0.000 0.000 1
Ac1 Ac 0.000 0.000 0.500 1
Al1 Al 0.250 0.250 0.250 1
Sn1 Sn 0.250 0.250 0.750 1
```

Output
The energy relative to the elements is -307 meV per atom.

***

# 3
First-principles (PBE-GGA) data for crystalline MgTl2Hg at its relaxed geometry, as listed in Alexandria.

```
data_MgTl2Hg
_symmetry_space_group_name_H-M 'P 4/m m m'
_symmetry_Int_Tables_number 123
_symmetry_space_group_name_Hall '-P 4 2'
_cell_length_a 4.001
_cell_length_b 4.001
_cell_length_c 6.754
_cell_angle_alpha 90.00
_cell_angle_beta 90.00
_cell_angle_gamma 90.00
loop_
_atom_site_label
_atom_site_type_symbol
_atom_site_fract_x
_atom_site_fract_y
_atom_site_fract_z
_atom_site_occupancy
Mg1 Mg 0.000 0.000 0.000 1
Tl1 Tl 0.500 0.500 0.250 1
Hg1 Hg 0.000 0.000 0.500 1
```

Output
The energy relative to the elements is 3 meV per atom.

***

# 4
First-principles (PBE-GGA) data for crystalline PaIn5 at its relaxed geometry, as listed in Alexandria.

```
data_PaIn5
_symmetry_space_group_name_H-M 'C m m m'
_symmetry_Int_Tables_number 65
_symmetry_space_group_name_Hall '-C 2 2'
_cell_length_a 4.631
_cell_length_b 14.311
_cell_length_c 4.625
_cell_angle_alpha 90.00
_cell_angle_beta 90.00
_cell_angle_gamma 90.00
loop_
_atom_site_label
_atom_site_type_symbol
_atom_site_fract_x
_atom_site_fract_y
_atom_site_fract_z
_atom_site_occupancy
Pa1 Pa 0.000 0.000 0.000 1
In1 In 0.000 0.166 0.500 1
In2 In 0.000 0.334 0.000 1
In3 In 0.000 0.500 0.500 1
```

Output
The energy relative to the elements is 5 meV per atom.